1.
Density functional theory data (GGA-PBE) for a relaxed Ca2Zn5Ir2Pt crystal.

Output
Crystal system: tetragonal
Volume (Å³/cell): 357.88
Total moment (μB per cell): 0.0
Calculated formation energy (kJ/mol of atoms): -31
SG: No. 127

abc: 9.8819 9.8819 3.6649
angles: 90.00 90.00 90.00
Closest atoms and distances in Å follow each position.
Atoms (fractional coordinates):
Ca  0.1720  0.3280  0.0000  3 Ir 2.81-2.99, 2 Zn 3.02
Ca  0.3280  0.8280  0.0000  3 Ir 2.81-2.99, 2 Zn 3.02
Ca  0.6720  0.1720  0.0000  3 Ir 2.81-2.99, 2 Zn 3.02
Ca  0.8280  0.6720  0.0000  3 Ir 2.81-2.99, 2 Zn 3.02
Zn  0.0000  0.5000  0.5000  4 Ir 2.55
Zn  0.0606  0.8071  0.5000  2 Ir 2.64, 2 Pt 2.71, 2 Zn 2.83
Zn  0.1929  0.0606  0.5000  2 Ir 2.64, 2 Pt 2.71, 2 Zn 2.83
Zn  0.3071  0.5606  0.5000  2 Ir 2.64, 2 Pt 2.71, 2 Zn 2.83
Zn  0.4394  0.3071  0.5000  2 Ir 2.64, 2 Pt 2.71, 2 Zn 2.83
Zn  0.5000  0.0000  0.5000  4 Ir 2.55
Zn  0.5606  0.6929  0.5000  2 Ir 2.64, 2 Pt 2.71, 2 Zn 2.83
Zn  0.6929  0.4394  0.5000  2 Ir 2.64, 2 Pt 2.71, 2 Zn 2.83
Zn  0.8071  0.9394  0.5000  2 Ir 2.64, 2 Pt 2.71, 2 Zn 2.83
Zn  0.9394  0.1929  0.5000  2 Ir 2.64, 2 Pt 2.71, 2 Zn 2.83
Ir  0.1272  0.6272  0.0000  6 Zn 2.55-2.64, 1 Ca 2.81
Ir  0.3728  0.1272  0.0000  6 Zn 2.55-2.64, 1 Ca 2.81
Ir  0.6272  0.8728  0.0000  6 Zn 2.55-2.64, 1 Ca 2.81
Ir  0.8728  0.3728  0.0000  6 Zn 2.55-2.64, 1 Ca 2.81
Pt  0.0000  0.0000  0.0000  8 Zn 2.71
Pt  0.5000  0.5000  0.0000  8 Zn 2.71

---

2.
Density functional theory data (GGA-PBE) for a relaxed Ca2ZrIrPt crystal.

Output
Crystal system: tetragonal
Volume (Å³/cell): 138.02
Total moment (μB per cell): 2.2
Calculated formation energy (kJ/mol of atoms): 45
SG: No. 123

abc: 5.3020 5.3020 4.9097
angles: 90.00 90.00 90.00
Closest atoms and distances in Å follow each position.
Atoms (fractional coordinates):
Ca  0.0000  0.5000  0.0000  2 Pt 2.65
Ca  0.5000  0.0000  0.0000  2 Pt 2.65
Zr  0.0000  0.0000  0.5000  8 Ca 3.61, 4 Ir 3.75
Ir  0.5000  0.5000  0.5000  2 Pt 2.45
Pt  0.5000  0.5000  0.0000  2 Ir 2.45, 4 Ca 2.65

---

3.
Density functional theory data (GGA-PBE) for a relaxed CaZrIrPt crystal.

Output
Crystal system: cubic
Volume (Å³/cell): 76.55
Total moment (μB per cell): 0.0
Calculated formation energy (kJ/mol of atoms): -66
SG: No. 216

abc: 4.7660 4.7660 4.7660
angles: 60.00 60.00 60.00
Closest atoms and distances in Å follow each position.
Atoms (fractional coordinates):
Ca  0.0000  0.0000  0.0000  4 Ir 2.92, 4 Pt 2.92
Zr  0.5000  0.5000  0.5000  4 Ir 2.92, 4 Pt 2.92
Ir  0.2500  0.2500  0.2500  4 Zr 2.92, 4 Ca 2.92
Pt  0.7500  0.7500  0.7500  4 Zr 2.92, 4 Ca 2.92

---

4.
Density functional theory data (GGA-PBE) for a relaxed CaPu3Ir2 crystal.

Output
Crystal system: monoclinic
Volume (Å³/cell): 242.08
Total moment (μB per cell): 5.9
E above lowest polymorph (meV/atom): 104
Calculated formation energy (kJ/mol of atoms): -17
SG: No. 12

abc: 8.5817 8.5817 7.3485
angles: 110.36 110.36 28.64
Closest atoms and distances in Å follow each position.
Atoms (fractional coordinates):
Ca  0.1157  0.1157  0.1833  7 Ir 3.12-3.20, 4 Pu 3.31-3.48
Ca  0.8843  0.8843  0.8167  7 Ir 3.12-3.20, 4 Pu 3.31-3.48
Pu  0.0595  0.0595  0.6630  3 Pu 2.50-2.60, 2 Ir 2.72
Pu  0.2867  0.2867  0.0538  2 Pu 2.43
Pu  0.3801  0.3801  0.4477  3 Pu 2.60-2.75, 2 Ir 2.82
Pu  0.6199  0.6199  0.5523  3 Pu 2.60-2.75, 2 Ir 2.82
Pu  0.7133  0.7133  0.9462  2 Pu 2.43
Pu  0.9405  0.9405  0.3370  3 Pu 2.50-2.60, 2 Ir 2.72
Ir  0.2394  0.2394  0.6319  5 Pu 2.82-3.10, 2 Ir 2.98, 2 Ca 3.13
Ir  0.4703  0.4703  0.1387  1 Ir 2.56, 2 Pu 2.72
Ir  0.5297  0.5297  0.8613  1 Ir 2.56, 2 Pu 2.72
Ir  0.7606  0.7606  0.3681  5 Pu 2.82-3.10, 2 Ir 2.98, 2 Ca 3.13

---

5.
Density functional theory data (GGA-PBE) for a relaxed CaPu2Ir crystal.

Output
Crystal system: trigonal
Volume (Å³/cell): 125.41
Total moment (μB per cell): 11.3
E above lowest polymorph (meV/atom): 25
Calculated formation energy (kJ/mol of atoms): -10
SG: No. 166

abc: 9.4293 9.4293 9.4293
angles: 24.36 24.36 24.36
Closest atoms and distances in Å follow each position.
Atoms (fractional coordinates):
Ca  0.0000  0.0000  0.0000  6 Pu 3.81, 6 Ca 3.98
Pu  0.2225  0.2225  0.2225  3 Ir 2.76
Pu  0.7775  0.7775  0.7775  3 Ir 2.76
Ir  0.5000  0.5000  0.5000  6 Pu 2.76

---

6.
Density functional theory data (GGA-PBE) for a relaxed CaPu2Ir crystal.

Output
Crystal system: tetragonal
Volume (Å³/cell): 109.46
Total moment (μB per cell): 11.4
E above lowest polymorph (meV/atom): 0
Calculated formation energy (kJ/mol of atoms): -12
SG: No. 123

abc: 3.4829 3.4829 9.0230
angles: 90.00 90.00 90.00
Closest atoms and distances in Å follow each position.
Atoms (fractional coordinates):
Ca  0.0000  0.0000  0.0000  4 Ca 3.48, 8 Pu 3.81
Pu  0.5000  0.5000  0.3219  4 Ir 2.94, 1 Pu 3.21
Pu  0.5000  0.5000  0.6781  4 Ir 2.94, 1 Pu 3.21
Ir  0.0000  0.0000  0.5000  8 Pu 2.94